The following is a PBE-GGA calculation of AcLu2Ir after structural relaxation, from Alexandria. Values from VASP.

## Properties
The uncorrected energy is -5.953 eV per atom. The formation energy is -450 meV per atom. As for the density of states at the Fermi level: 1.26 states/eV per atom. The crystal system is tetragonal. Its space-group type is P4/mmm (123).

```
&SYSTEM
  ibrav = 0, nat = 4, ntyp = 3
/
ATOMIC_SPECIES
Lu 174.97 Lu.upf
Ir 192.22 Ir.upf
Ac 227.00 Ac.upf
CELL_PARAMETERS angstrom
-0.3817 -3.2909 -1.1416
1.6787 0.8325 -2.9611
7.8220 -2.2282 3.8079
ATOMIC_POSITIONS angstrom
Lu 6.4652 -1.8417 3.1474
Lu 1.3568 -0.3865 0.6605
Ir 0.6485 -1.2292 -2.0514
Ac 4.5595 -2.3433 -0.1474
```